Entry 1:
Here is an optimized crystal structure of K2Gd2TmMg3Cd from OQMD. Energies are from GGA-PBE.

abc: 3.4334 9.1838 9.1838
angles: 100.44 90.00 90.00
Fractional coordinates of all 9 atoms:
K: 0.5000 0.3428 0.5815
K: 0.5000 0.5815 0.3428
Mg: 0.5000 0.2011 0.2011
Mg: 0.5000 0.0467 0.7450
Mg: 0.5000 0.7450 0.0467
Gd: 0.0000 0.3803 0.9646
Gd: 0.0000 0.9646 0.3803
Tm: 0.0000 0.7360 0.7360
Cd: 0.0000 0.0019 0.0019

Calculated values
- DFT total energy (eV/atom) = -2.14
- SG = Amm2 (38)

Entry 2:
Here is an optimized crystal structure of K2Gd2YMg3Cd from OQMD. Energies are from GGA-PBE.

abc: 4.8626 8.2592 8.2592
angles: 120.58 90.00 90.00
Fractional coordinates of all 9 atoms:
Mg: 0.5000 0.0000 0.2150
Mg: 0.5000 0.2150 0.0000
Mg: 0.5000 0.7819 0.7819
K: 0.5000 0.6660 0.3310
K: 0.5000 0.3310 0.6660
Gd: 0.0000 0.9985 0.6266
Gd: 0.0000 0.6266 0.9985
Y: 0.0000 0.3785 0.3785
Cd: 0.0000 0.0024 0.0024

Calculated values
- DFT total energy (eV/atom) = -2.21
- SG = Amm2 (38)